Entry from Alexandria: an optimized crystal structure of SrY4Mg5 (PBE).

Unit cell a=3.8573 b=3.8573 c=19.5718 alpha=90.00 beta=90.00 gamma=90.00
Sites, in units of the cell vectors:
Sr  0.0000  0.0000  0.0000
Y  0.0000  0.0000  0.2155
Y  0.0000  0.0000  0.4047
Y  0.0000  0.0000  0.5953
Y  0.0000  0.0000  0.7845
Mg  0.5000  0.5000  0.1200
Mg  0.5000  0.5000  0.3093
Mg  0.5000  0.5000  0.5000
Mg  0.5000  0.5000  0.6907
Mg  0.5000  0.5000  0.8800

As for the crystal system: tetragonal. The symmetry is P4/mmm. The calculation puts the formation enthalpy at 0 K at -0.089 eV per atom. The total energy comes out at -36.405 eV/cell.

Entry from Alexandria: an optimized crystal structure of BOsOF2 (PBE).

Unit cell a=4.3077 b=4.3077 c=3.6948 alpha=90.00 beta=90.00 gamma=90.00
Sites, in units of the cell vectors:
B  0.0000  0.0000  0.0000
Os  0.5000  0.5000  0.5000
O  0.5000  0.5000  0.0000
F  0.0000  0.5000  0.5000
F  0.5000  0.0000  0.5000

The formation energy from raw total energies is 0.14 eV/atom. Its energy above the most stable polymorph in this dataset is 489 meV/atom. As for the crystal system: tetragonal. The symmetry is P4/mmm. The total energy comes out at -25.895 eV/cell.

Entry from Alexandria: an optimized crystal structure of KNd2TcO8 (PBE).

Unit cell a=4.2830 b=5.3393 c=7.3140 alpha=90.25 beta=105.78 gamma=90.60
Sites, in units of the cell vectors:
K  0.0000  0.0000  0.0000
Nd  0.3778  0.4916  0.7101
Nd  0.6222  0.5084  0.2899
Tc  0.0000  0.0000  0.5000
O  0.1722  0.5024  0.9976
O  0.1841  0.7059  0.4073
O  0.2056  0.2319  0.3797
O  0.3417  0.0207  0.7257
O  0.6583  0.9794  0.2743
O  0.7944  0.7681  0.6203
O  0.8159  0.2941  0.5927
O  0.8278  0.4976  0.0024

The formation energy from raw total energies is -2.06 eV/atom. As for the crystal system: triclinic. The symmetry is P-1. The total energy comes out at -85.338 eV/cell.

Entry from Alexandria: an optimized crystal structure of YScTe (PBE).

Unit cell a=3.8943 b=3.8943 c=6.6488 alpha=90.00 beta=90.00 gamma=120.00
Sites, in units of the cell vectors:
Y  0.0000  0.0000  0.0000
Sc  0.6667  0.3333  0.3974
Te  0.3333  0.6667  0.6793

The formation energy from raw total energies is -0.69 eV/atom. Its energy above the most stable polymorph in this dataset is 205 meV/atom. As for the crystal system: trigonal. The symmetry is P3m1. The total energy comes out at -18.007 eV/cell.

Entry from Alexandria: an optimized crystal structure of AcSmPuO6 (PBE).

Unit cell a=5.9224 b=5.9224 c=10.1804 alpha=90.00 beta=90.00 gamma=120.00
Sites, in units of the cell vectors:
Ac  0.0000  0.0000  0.0000
Ac  0.0000  0.0000  0.5000
Sm  0.3333  0.6667  0.2500
Sm  0.6667  0.3333  0.7500
Pu  0.3333  0.6667  0.7500
Pu  0.6667  0.3333  0.2500
O  0.0327  0.3746  0.6401
O  0.0327  0.6581  0.8599
O  0.3419  0.3746  0.8599
O  0.3419  0.9673  0.6401
O  0.3746  0.0327  0.1401
O  0.3746  0.3419  0.3599
O  0.6254  0.6581  0.6401
O  0.6254  0.9673  0.8599
O  0.6581  0.0327  0.3599
O  0.6581  0.6254  0.1401
O  0.9673  0.3419  0.1401
O  0.9673  0.6254  0.3599

The formation energy from raw total energies is -3.05 eV/atom. As for the crystal system: trigonal. The symmetry is P-31c. The total energy comes out at -160.723 eV/cell.

Entry from Alexandria: an optimized crystal structure of LaNdSmMg (PBE).

Unit cell a=5.6920 b=5.6920 c=5.6920 alpha=60.00 beta=60.00 gamma=60.00
Sites, in units of the cell vectors:
La  0.0000  0.0000  0.0000
Nd  0.5000  0.5000  0.5000
Sm  0.7500  0.7500  0.7500
Mg  0.2500  0.2500  0.2500

Its energy above the most stable polymorph in this dataset is 73 meV/atom. As for the crystal system: cubic. The symmetry is F-43m. The calculation puts the formation enthalpy at 0 K at 0.034 eV per atom. The total energy comes out at -15.873 eV/cell.

Entry from Alexandria: an optimized crystal structure of Cd2MoIr (PBE).

Unit cell a=2.8512 b=4.8211 c=5.1134 alpha=90.00 beta=97.33 gamma=90.00
Sites, in units of the cell vectors:
Cd  0.2127  0.0000  0.2537
Cd  0.7873  0.0000  0.7463
Mo  0.5000  0.5000  0.0000
Ir  0.0000  0.5000  0.5000

Its energy above the most stable polymorph in this dataset is 366 meV/atom. As for the crystal system: monoclinic. The symmetry is P2/m. The calculation puts the formation enthalpy at 0 K at 0.381 eV per atom. The total energy comes out at -19.997 eV/cell.

Entry from Alexandria: an optimized crystal structure of NdErMn17 (PBE).

Unit cell a=6.3448 b=6.3448 c=6.3448 alpha=86.31 beta=86.31 gamma=86.31
Sites, in units of the cell vectors:
Nd  0.0000  0.0000  0.0000
Er  0.7100  0.7100  0.7100
Mn  0.0012  0.0012  0.4802
Mn  0.0012  0.4802  0.0012
Mn  0.0831  0.3583  0.6313
Mn  0.0831  0.6313  0.3583
Mn  0.2347  0.7104  0.7104
Mn  0.2580  0.2580  0.2580
Mn  0.3583  0.0831  0.6313
Mn  0.3583  0.6313  0.0831
Mn  0.3586  0.3586  0.8566
Mn  0.3586  0.8566  0.3586
Mn  0.4569  0.4569  0.4569
Mn  0.4802  0.0012  0.0012
Mn  0.6313  0.0831  0.3583
Mn  0.6313  0.3583  0.0831
Mn  0.7104  0.2347  0.7104
Mn  0.7104  0.7104  0.2347
Mn  0.8566  0.3586  0.3586

As for the crystal system: trigonal. The symmetry is R3m. The calculation puts the formation enthalpy at 0 K at 0.026 eV per atom. The total energy comes out at -164.723 eV/cell.

no.,calculated volume (A^3/atom)
1,29.1
2,13.7
3,13.4
4,29.1
5,17.2
6,32.6
7,17.4
8,13.4